1.
A relaxed structure of InFeRu3, computed with PBE-GGA.

Cell: 4.434 4.434 4.434 Å, 90.00 90.00 90.00°
Atoms (fractional coordinates):
Fe (0.000, 0.000, 0.000)
Ru (0.000, 0.000, 0.500)
Ru (0.500, 0.000, 0.000)
Ru (0.000, 0.500, 0.000)
In (0.500, 0.500, 0.500)

Values from the calculation:
The value obtained for the calculated volume is 17.44 Å³/atom. The density is 9.02 Mg/m³. As for the total energy: -6.702 eV/atom. The calculation puts the formation energy at 1103 meV/atom.

---

2.
A relaxed structure of CaPaBr2, computed with PBE-GGA.

Cell: 3.620 3.620 10.181 Å, 79.76 79.76 60.00°
Each line ends with the local moment (μB).
Atoms (fractional coordinates):
Br (0.101, 0.101, 0.696)  0.00
Br (0.899, 0.899, 0.304)  0.00
Pa (0.000, 0.000, 0.000)  0.70
Ca (0.500, 0.500, 0.500)  -0.03

Values from the calculation:
The value obtained for the calculated volume is 28.26 Å³/atom. The density is 6.33 Mg/m³. As for the total energy: -4.442 eV/atom.